Run one
Below is a relaxed Na2MoOs crystal, with properties calculated at the PBE-GGA level.

abc: 4.687 4.687 4.687
angles: 60.00 60.00 60.00
Fractional positions:
Na1 0.250 0.250 0.250
Na2 0.750 0.750 0.750
Mo1 0.000 0.000 0.000
Os1 0.500 0.500 0.500

=====

Run two
Below is a relaxed Na2MoOs crystal, with properties calculated at the PBE-GGA level.

abc: 8.360 8.360 6.393
angles: 49.17 49.17 90.00
Fractional positions:
Na1 0.648 0.125 0.250
Na2 0.102 0.625 0.250
Na3 0.375 0.352 0.750
Na4 0.875 0.898 0.750
Mo1 0.500 0.500 0.000
Mo2 0.250 0.750 0.500
Os1 0.000 0.000 0.000
Os2 0.750 0.250 0.500

=====

Stability verdict: run two, ahead by 0.247 eV/atom

=====

Run one
Below is a relaxed Na2Mo2Os crystal, with properties calculated at the PBE-GGA level.

abc: 7.961 7.961 2.654
angles: 90.00 90.00 90.00
Fractional positions:
Na1 0.403 0.903 0.000
Na2 0.903 0.597 0.000
Na3 0.597 0.097 0.000
Na4 0.097 0.403 0.000
Mo1 0.206 0.706 0.500
Mo2 0.706 0.794 0.500
Mo3 0.794 0.294 0.500
Mo4 0.294 0.206 0.500
Os1 0.000 0.000 0.000
Os2 0.500 0.500 0.000

=====

Run two
Below is a relaxed Na2Mo2Os crystal, with properties calculated at the PBE-GGA level.

abc: 3.734 3.734 6.728
angles: 73.89 73.89 90.00
Fractional positions:
Na1 0.416 0.416 0.167
Na2 0.584 0.584 0.833
Mo1 0.750 0.250 0.500
Mo2 0.250 0.750 0.500
Os1 0.000 0.000 0.000

=====

Stability verdict: run one, ahead by 0.047 eV/atom

=====

Run one
Below is a relaxed NaMo3Os crystal, with properties calculated at the PBE-GGA level.

abc: 4.403 4.403 4.403
angles: 90.00 90.00 90.00
Fractional positions:
Na1 0.000 0.000 0.000
Mo1 0.000 0.500 0.000
Mo2 0.000 0.000 0.500
Mo3 0.500 0.000 0.000
Os1 0.500 0.500 0.500

=====

Run two
Below is a relaxed NaMo3Os crystal, with properties calculated at the PBE-GGA level.

abc: 4.819 4.819 4.819
angles: 90.00 90.00 90.00
Fractional positions:
Na1 0.500 0.500 0.500
Mo1 0.000 0.500 0.000
Mo2 0.000 0.000 0.500
Mo3 0.500 0.000 0.000
Os1 0.000 0.000 0.000

=====

Stability verdict: run two, ahead by 1.149 eV/atom

=====

Run one
Below is a relaxed NaMoP2 crystal, with properties calculated at the PBE-GGA level.

abc: 3.102 3.102 6.917
angles: 90.00 90.00 90.00
Fractional positions:
P1 0.000 0.000 0.807
P2 0.000 0.000 0.193
Mo1 0.500 0.500 0.000
Na1 0.500 0.500 0.500

=====

Run two
Below is a relaxed NaMoP2 crystal, with properties calculated at the PBE-GGA level.

abc: 4.452 4.452 4.452
angles: 60.00 60.00 60.00
Fractional positions:
P1 0.250 0.250 0.250
P2 0.750 0.750 0.750
Mo1 0.500 0.500 0.500
Na1 0.000 0.000 0.000

=====

Run three
Below is a relaxed NaMoP2 crystal, with properties calculated at the PBE-GGA level.

abc: 6.200 6.200 7.093
angles: 64.08 64.08 90.00
Fractional positions:
P1 0.721 0.125 0.250
P2 0.029 0.625 0.250
P3 0.375 0.279 0.750
P4 0.875 0.971 0.750
Mo1 0.000 0.000 0.000
Mo2 0.750 0.250 0.500
Na1 0.500 0.500 0.000
Na2 0.250 0.750 0.500

=====

Stability verdict: run one, ahead by 0.334 eV/atom

=====

Run one
Below is a relaxed NaMo3P crystal, with properties calculated at the PBE-GGA level.

abc: 4.548 4.548 4.548
angles: 90.00 90.00 90.00
Fractional positions:
P1 0.000 0.000 0.000
Mo1 0.000 0.500 0.000
Mo2 0.000 0.000 0.500
Mo3 0.500 0.000 0.000
Na1 0.500 0.500 0.500

=====

Run two
Below is a relaxed NaMo3P crystal, with properties calculated at the PBE-GGA level.

abc: 4.543 4.543 4.543
angles: 90.00 90.00 90.00
Fractional positions:
P1 0.500 0.500 0.500
Mo1 0.000 0.500 0.000
Mo2 0.000 0.000 0.500
Mo3 0.500 0.000 0.000
Na1 0.000 0.000 0.000

=====

Stability verdict: run one, ahead by 1.907 eV/atom

=====

Run one
Below is a relaxed NaMoP3 crystal, with properties calculated at the PBE-GGA level.

abc: 4.752 4.752 4.752
angles: 90.00 90.00 90.00
Fractional positions:
P1 0.000 0.500 0.000
P2 0.000 0.000 0.500
P3 0.500 0.000 0.000
Mo1 0.000 0.000 0.000
Na1 0.500 0.500 0.500

=====

Run two
Below is a relaxed NaMoP3 crystal, with properties calculated at the PBE-GGA level.

abc: 4.597 4.597 4.597
angles: 90.00 90.00 90.00
Fractional positions:
P1 0.000 0.500 0.000
P2 0.000 0.000 0.500
P3 0.500 0.000 0.000
Mo1 0.500 0.500 0.500
Na1 0.000 0.000 0.000

=====

Stability verdict: run one, ahead by 1.802 eV/atom

=====

Run one
Below is a relaxed NaMoP2S crystal, with properties calculated at the PBE-GGA level.

abc: 4.711 4.711 4.853
angles: 90.00 90.00 90.00
Fractional positions:
P1 0.000 0.500 0.000
P2 0.500 0.000 0.000
Mo1 0.000 0.000 0.000
S1 0.000 0.000 0.500
Na1 0.500 0.500 0.500

=====

Run two
Below is a relaxed NaMoP2S crystal, with properties calculated at the PBE-GGA level.

abc: 4.637 4.637 4.623
angles: 90.00 90.00 90.00
Fractional positions:
P1 0.000 0.500 0.000
P2 0.500 0.000 0.000
Mo1 0.500 0.500 0.500
S1 0.000 0.000 0.500
Na1 0.000 0.000 0.000

=====

Stability verdict: run one, ahead by 1.811 eV/atom

=====

Run one
Below is a relaxed NaMo3Pb crystal, with properties calculated at the PBE-GGA level.

abc: 4.643 4.643 4.643
angles: 90.00 90.00 90.00
Fractional positions:
Pb1 0.500 0.500 0.500
Na1 0.000 0.000 0.000
Mo1 0.000 0.500 0.000
Mo2 0.000 0.000 0.500
Mo3 0.500 0.000 0.000

=====

Run two
Below is a relaxed NaMo3Pb crystal, with properties calculated at the PBE-GGA level.

abc: 5.111 5.111 5.111
angles: 90.00 90.00 90.00
Fractional positions:
Pb1 0.000 0.000 0.000
Na1 0.500 0.500 0.500
Mo1 0.000 0.500 0.000
Mo2 0.000 0.000 0.500
Mo3 0.500 0.000 0.000

=====

Stability verdict: run one, ahead by 0.070 eV/atom